1.
First-principles (PBE) data for crystalline YSiBi2B at its relaxed geometry, as listed in the Alexandria database.

Properties
Total magnetization, μB/f.u.: 0.0
E_form (uncorrected), kJ per mole of atoms: 124.4

Cell lengths 5.878, 4.676, 5.878 Å; angles 90.00, 90.00, 90.00 degrees
Atoms (fractional coordinates):
Y  0.000  0.000  0.000
Si  0.500  0.500  0.500
B  0.000  0.500  0.000
Bi  0.000  0.000  0.500
Bi  0.500  0.000  0.000

***

2.
First-principles (PBE) data for crystalline Sm4Bi2B at its relaxed geometry, as listed in the Alexandria database.

Properties
Total magnetization, μB/f.u.: 0.0
Energy relative to the elements, eV/atom: -0.560

Cell lengths 5.060, 5.060, 8.975 Å; angles 106.37, 106.37, 90.00 degrees
Atoms (fractional coordinates):
B  0.000  0.000  0.000
Bi  0.641  0.641  0.282
Bi  0.359  0.359  0.718
Sm  0.840  0.840  0.680
Sm  0.160  0.160  0.320
Sm  0.000  0.500  0.000
Sm  0.500  0.000  0.000

***

3.
First-principles (PBE) data for crystalline SnBi2B at its relaxed geometry, as listed in the Alexandria database.

Properties
Distance to the lowest polymorph of the same formula, meV/atom: 387
Total magnetization, μB/f.u.: 0.0
Energy relative to the elements, eV/atom: 0.994

Cell lengths 5.223, 5.223, 5.223 Å; angles 60.00, 60.00, 60.00 degrees
Atoms (fractional coordinates):
B  0.000  0.000  0.000
Bi  0.250  0.250  0.250
Bi  0.750  0.750  0.750
Sn  0.500  0.500  0.500

***

4.
First-principles (PBE) data for crystalline SnBi2B at its relaxed geometry, as listed in the Alexandria database.

Properties
Distance to the lowest polymorph of the same formula, meV/atom: 0
Total magnetization, μB/f.u.: 0.0
Energy relative to the elements, eV/atom: 0.607

Cell lengths 6.585, 6.585, 7.247 Å; angles 62.98, 62.98, 90.00 degrees
Atoms (fractional coordinates):
B  0.500  0.500  0.000
B  0.250  0.750  0.500
Bi  0.546  0.125  0.250
Bi  0.204  0.625  0.250
Bi  0.375  0.454  0.750
Bi  0.875  0.796  0.750
Sn  0.000  0.000  0.000
Sn  0.750  0.250  0.500

***

5.
First-principles (PBE) data for crystalline SnBiB2 at its relaxed geometry, as listed in the Alexandria database.

Properties
Distance to the lowest polymorph of the same formula, meV/atom: 0
Total magnetization, μB/f.u.: 0.0
Energy relative to the elements, eV/atom: 0.762

Cell lengths 5.449, 5.449, 6.610 Å; angles 65.66, 65.66, 90.00 degrees
Atoms (fractional coordinates):
B  0.612  0.125  0.250
B  0.138  0.625  0.250
B  0.375  0.388  0.750
B  0.875  0.862  0.750
Bi  0.000  0.000  0.000
Bi  0.750  0.250  0.500
Sn  0.500  0.500  0.000
Sn  0.250  0.750  0.500

***

6.
First-principles (PBE) data for crystalline Sn3BiB at its relaxed geometry, as listed in the Alexandria database.

Properties
Distance to the lowest polymorph of the same formula, meV/atom: 0
Total magnetization, μB/f.u.: 0.0
Energy relative to the elements, eV/atom: 0.457

Cell lengths 4.976, 4.976, 4.976 Å; angles 90.00, 90.00, 90.00 degrees
Atoms (fractional coordinates):
B  0.000  0.000  0.000
Bi  0.500  0.500  0.500
Sn  0.000  0.500  0.000
Sn  0.000  0.000  0.500
Sn  0.500  0.000  0.000

***

7.
First-principles (PBE) data for crystalline SnBiB2 at its relaxed geometry, as listed in the Alexandria database.

Properties
Distance to the lowest polymorph of the same formula, meV/atom: 755
Total magnetization, μB/f.u.: 0.0
Energy relative to the elements, eV/atom: 1.517

Cell lengths 4.644, 4.644, 4.644 Å; angles 60.00, 60.00, 60.00 degrees
Atoms (fractional coordinates):
B  0.250  0.250  0.250
B  0.750  0.750  0.750
Bi  0.500  0.500  0.500
Sn  0.000  0.000  0.000

***

8.
First-principles (PBE) data for crystalline Sn3BiB at its relaxed geometry, as listed in the Alexandria database.

Properties
Distance to the lowest polymorph of the same formula, meV/atom: 1260
Total magnetization, μB/f.u.: 0.0
Energy relative to the elements, eV/atom: 1.717

Cell lengths 5.932, 5.932, 5.932 Å; angles 90.00, 90.00, 90.00 degrees
Atoms (fractional coordinates):
B  0.500  0.500  0.500
Bi  0.000  0.000  0.000
Sn  0.000  0.500  0.000
Sn  0.000  0.000  0.500
Sn  0.500  0.000  0.000

***

9.
First-principles (PBE) data for crystalline SnBiB3 at its relaxed geometry, as listed in the Alexandria database.

Properties
Distance to the lowest polymorph of the same formula, meV/atom: 342
Total magnetization, μB/f.u.: 0.0
Energy relative to the elements, eV/atom: 2.292

Cell lengths 4.720, 4.720, 4.720 Å; angles 90.00, 90.00, 90.00 degrees
Atoms (fractional coordinates):
B  0.000  0.500  0.000
B  0.000  0.000  0.500
B  0.500  0.000  0.000
Bi  0.000  0.000  0.000
Sn  0.500  0.500  0.500

***

10.
First-principles (PBE) data for crystalline SnBi3B at its relaxed geometry, as listed in the Alexandria database.

Properties
Distance to the lowest polymorph of the same formula, meV/atom: 0
Total magnetization, μB/f.u.: 0.0
Energy relative to the elements, eV/atom: 0.667

Cell lengths 5.144, 5.144, 5.144 Å; angles 90.00, 90.00, 90.00 degrees
Atoms (fractional coordinates):
B  0.000  0.000  0.000
Bi  0.000  0.500  0.000
Bi  0.000  0.000  0.500
Bi  0.500  0.000  0.000
Sn  0.500  0.500  0.500

***

11.
First-principles (PBE) data for crystalline SnBiB3 at its relaxed geometry, as listed in the Alexandria database.

Properties
Distance to the lowest polymorph of the same formula, meV/atom: 0
Total magnetization, μB/f.u.: 0.0
Energy relative to the elements, eV/atom: 1.950

Cell lengths 4.553, 4.553, 4.553 Å; angles 90.00, 90.00, 90.00 degrees
Atoms (fractional coordinates):
B  0.000  0.500  0.000
B  0.000  0.000  0.500
B  0.500  0.000  0.000
Bi  0.500  0.500  0.500
Sn  0.000  0.000  0.000

***

12.
First-principles (PBE) data for crystalline SnBi3B at its relaxed geometry, as listed in the Alexandria database.

Properties
Distance to the lowest polymorph of the same formula, meV/atom: 952
Total magnetization, μB/f.u.: 0.0
Energy relative to the elements, eV/atom: 1.619

Cell lengths 5.807, 5.807, 5.807 Å; angles 90.00, 90.00, 90.00 degrees
Atoms (fractional coordinates):
B  0.500  0.500  0.500
Bi  0.000  0.500  0.000
Bi  0.000  0.000  0.500
Bi  0.500  0.000  0.000
Sn  0.000  0.000  0.000

***

13.
First-principles (PBE) data for crystalline ZnSn2BiB at its relaxed geometry, as listed in the Alexandria database.

Properties
Total magnetization, μB/f.u.: 0.0
Energy relative to the elements, eV/atom: 0.648

Cell lengths 5.588, 3.877, 5.588 Å; angles 90.00, 90.00, 90.00 degrees
Atoms (fractional coordinates):
Zn  0.000  0.000  0.000
B  0.000  0.500  0.000
Bi  0.500  0.500  0.500
Sn  0.000  0.000  0.500
Sn  0.500  0.000  0.000

***

14.
First-principles (PBE) data for crystalline ZrSnBiB2 at its relaxed geometry, as listed in the Alexandria database.

Properties
Total magnetization, μB/f.u.: 0.0
Energy relative to the elements, eV/atom: 1.213

Cell lengths 4.639, 5.698, 4.639 Å; angles 90.00, 90.00, 90.00 degrees
Atoms (fractional coordinates):
B  0.000  0.000  0.500
B  0.500  0.000  0.000
Bi  0.000  0.500  0.000
Zr  0.000  0.000  0.000
Sn  0.500  0.500  0.500

***

15.
First-principles (PBE) data for crystalline SrBi2B at its relaxed geometry, as listed in the Alexandria database.

Properties
Total magnetization, μB/f.u.: 0.0
Energy relative to the elements, eV/atom: 0.135

Cell lengths 7.719, 7.719, 6.676 Å; angles 54.68, 54.68, 90.00 degrees
Atoms (fractional coordinates):
Sr  0.000  0.000  0.000
Sr  0.750  0.250  0.500
B  0.500  0.500  0.000
B  0.250  0.750  0.500
Bi  0.525  0.125  0.250
Bi  0.225  0.625  0.250
Bi  0.375  0.475  0.750
Bi  0.875  0.775  0.750

***

16.
First-principles (PBE) data for crystalline Sr2BiB at its relaxed geometry, as listed in the Alexandria database.

Properties
Distance to the lowest polymorph of the same formula, meV/atom: 0
Total magnetization, μB/f.u.: 0.0
Energy relative to the elements, eV/atom: 0.245

Cell lengths 5.526, 5.526, 5.526 Å; angles 60.00, 60.00, 60.00 degrees
Atoms (fractional coordinates):
Sr  0.250  0.250  0.250
Sr  0.750  0.750  0.750
B  0.000  0.000  0.000
Bi  0.500  0.500  0.500

***

17.
First-principles (PBE) data for crystalline Sr3BiB at its relaxed geometry, as listed in the Alexandria database.

Properties
Distance to the lowest polymorph of the same formula, meV/atom: 0
Total magnetization, μB/f.u.: 0.0
Energy relative to the elements, eV/atom: -0.109

Cell lengths 5.519, 5.519, 5.519 Å; angles 90.00, 90.00, 90.00 degrees
Atoms (fractional coordinates):
Sr  0.000  0.500  0.000
Sr  0.000  0.000  0.500
Sr  0.500  0.000  0.000
B  0.000  0.000  0.000
Bi  0.500  0.500  0.500

***

18.
First-principles (PBE) data for crystalline Sr2BiB at its relaxed geometry, as listed in the Alexandria database.

Properties
Distance to the lowest polymorph of the same formula, meV/atom: 83
Total magnetization, μB/f.u.: 2.0
Energy relative to the elements, eV/atom: 0.328

Cell lengths 8.464, 8.464, 6.968 Å; angles 52.60, 52.60, 90.00 degrees
Atoms (fractional coordinates):
Sr  0.568  0.125  0.250
Sr  0.182  0.625  0.250
Sr  0.375  0.432  0.750
Sr  0.875  0.818  0.750
B  0.500  0.500  0.000
B  0.250  0.750  0.500
Bi  0.000  0.000  0.000
Bi  0.750  0.250  0.500

***

19.
First-principles (PBE) data for crystalline SrZn2BiB at its relaxed geometry, as listed in the Alexandria database.

Properties
Total magnetization, μB/f.u.: 0.0
Energy relative to the elements, eV/atom: 0.221

Cell lengths 4.411, 5.834, 4.411 Å; angles 90.00, 90.00, 90.00 degrees
Atoms (fractional coordinates):
Sr  0.500  0.500  0.500
Zn  0.000  0.000  0.500
Zn  0.500  0.000  0.000
B  0.000  0.000  0.000
Bi  0.000  0.500  0.000

***

20.
First-principles (PBE) data for crystalline SrZrBiB2 at its relaxed geometry, as listed in the Alexandria database.

Properties
Total magnetization, μB/f.u.: 1.8
Energy relative to the elements, eV/atom: 2.040

Cell lengths 4.869, 5.937, 4.869 Å; angles 90.00, 90.00, 90.00 degrees
Atoms (fractional coordinates):
Sr  0.000  0.500  0.000
B  0.000  0.000  0.500
B  0.500  0.000  0.000
Bi  0.000  0.000  0.000
Zr  0.500  0.500  0.500

***

21.
First-principles (PBE) data for crystalline Ta2BiB at its relaxed geometry, as listed in the Alexandria database.

Properties
Distance to the lowest polymorph of the same formula, meV/atom: 0
Total magnetization, μB/f.u.: 0.0
Energy relative to the elements, eV/atom: 0.805

Cell lengths 5.530, 5.530, 7.056 Å; angles 66.93, 66.93, 90.00 degrees
Atoms (fractional coordinates):
B  0.500  0.500  0.000
B  0.250  0.750  0.500
Bi  0.000  0.000  0.000
Bi  0.750  0.250  0.500
Ta  0.506  0.125  0.250
Ta  0.244  0.625  0.250
Ta  0.375  0.494  0.750
Ta  0.875  0.756  0.750

***

22.
First-principles (PBE) data for crystalline Ta2BiB at its relaxed geometry, as listed in the Alexandria database.

Properties
Distance to the lowest polymorph of the same formula, meV/atom: 180
Total magnetization, μB/f.u.: 0.0
Energy relative to the elements, eV/atom: 0.984

Cell lengths 4.598, 4.598, 4.598 Å; angles 60.00, 60.00, 60.00 degrees
Atoms (fractional coordinates):
B  0.000  0.000  0.000
Bi  0.500  0.500  0.500
Ta  0.250  0.250  0.250
Ta  0.750  0.750  0.750

***

23.
First-principles (PBE) data for crystalline TaBiB3 at its relaxed geometry, as listed in the Alexandria database.

Properties
Distance to the lowest polymorph of the same formula, meV/atom: 0
Total magnetization, μB/f.u.: 0.0
Energy relative to the elements, eV/atom: 1.291

Cell lengths 4.366, 4.366, 4.366 Å; angles 90.00, 90.00, 90.00 degrees
Atoms (fractional coordinates):
B  0.000  0.500  0.000
B  0.000  0.000  0.500
B  0.500  0.000  0.000
Bi  0.500  0.500  0.500
Ta  0.000  0.000  0.000

***

24.
First-principles (PBE) data for crystalline TaBiB3 at its relaxed geometry, as listed in the Alexandria database.

Properties
Distance to the lowest polymorph of the same formula, meV/atom: 1576
Total magnetization, μB/f.u.: 0.0
Energy relative to the elements, eV/atom: 2.867

Cell lengths 4.466, 4.466, 4.466 Å; angles 90.00, 90.00, 90.00 degrees
Atoms (fractional coordinates):
B  0.000  0.500  0.000
B  0.000  0.000  0.500
B  0.500  0.000  0.000
Bi  0.000  0.000  0.000
Ta  0.500  0.500  0.500

***

25.
First-principles (PBE) data for crystalline TaBi2B at its relaxed geometry, as listed in the Alexandria database.

Properties
Total magnetization, μB/f.u.: 1.8
Energy relative to the elements, eV/atom: 1.295

Cell lengths 6.487, 6.487, 6.793 Å; angles 61.48, 61.48, 90.00 degrees
Atoms (fractional coordinates):
B  0.500  0.500  0.000
B  0.250  0.750  0.500
Bi  0.565  0.125  0.250
Bi  0.185  0.625  0.250
Bi  0.375  0.435  0.750
Bi  0.875  0.815  0.750
Ta  0.000  0.000  0.000
Ta  0.750  0.250  0.500

***

26.
First-principles (PBE) data for crystalline TbBiB at its relaxed geometry, as listed in the Alexandria database.

Properties
Total magnetization, μB/f.u.: 0.0
Energy relative to the elements, eV/atom: -0.097

Cell lengths 4.030, 5.466, 6.905 Å; angles 102.05, 90.00, 111.63 degrees
Atoms (fractional coordinates):
Tb  0.123  0.246  0.838
Tb  0.877  0.754  0.162
Bi  0.372  0.745  0.583
Bi  0.628  0.255  0.417
B  0.581  0.162  0.057
B  0.419  0.838  0.943

***

27.
First-principles (PBE) data for crystalline Tb3BiB at its relaxed geometry, as listed in the Alexandria database.

Properties
Total magnetization, μB/f.u.: 0.0
Energy relative to the elements, eV/atom: -0.451

Cell lengths 5.069, 5.069, 5.069 Å; angles 90.00, 90.00, 90.00 degrees
Atoms (fractional coordinates):
B  0.000  0.000  0.000
Tb  0.000  0.500  0.000
Tb  0.000  0.000  0.500
Tb  0.500  0.000  0.000
Bi  0.500  0.500  0.500

***

28.
First-principles (PBE) data for crystalline Tc2BiB at its relaxed geometry, as listed in the Alexandria database.

Properties
Distance to the lowest polymorph of the same formula, meV/atom: 214
Total magnetization, μB/f.u.: 0.0
Energy relative to the elements, eV/atom: 0.990

Cell lengths 4.405, 4.405, 4.405 Å; angles 60.00, 60.00, 60.00 degrees
Atoms (fractional coordinates):
B  0.000  0.000  0.000
Bi  0.500  0.500  0.500
Tc  0.250  0.250  0.250
Tc  0.750  0.750  0.750

***

no.,VASP energy (eV per atom)
1,-3.98
2,-5.32
3,-3.62
4,-4.00
5,-4.55
6,-4.06
7,-3.79
8,-2.80
9,-3.29
10,-3.80
11,-3.63
12,-2.85
13,-3.32
14,-4.74
15,-3.90
16,-3.24
17,-3.23
18,-3.15
19,-2.74
20,-3.45
21,-7.76
22,-7.58
23,-5.86
24,-4.29
25,-5.28
26,-5.16
27,-5.34
28,-6.83